# 1
A plane-wave DFT calculation with PBE-GGA was carried out for a geometry-optimized ZrPdRh structure.

Properties
Density, g cm⁻³: 9.85
SG: C2/m
Calculated formation energy, eV/atom: -0.7539
V, Å³ per atom: 16.89
Relative energy among the computed polymorphs, eV/f.u.: 0.09
D(E_F), states/eV/cell: 3.3
Uncorrected energy, eV/atom: -7.785

The structure in POSCAR format:
```
ZrPdRh
1.0
4.369 -2.133 0.000
4.369 2.133 0.000
-1.097 0.000 5.438
Zr Pd Rh
2 2 2
Direct
0.151 0.151 0.294
0.849 0.849 0.706
0.500 0.500 0.000
0.500 0.500 0.500
0.173 0.173 0.801
0.827 0.827 0.199
```

=====

# 2
A plane-wave DFT calculation with PBE-GGA was carried out for a geometry-optimized RbCuBiBr5 structure.

Properties
Density, g cm⁻³: 4.27
SG: C2/c
V, Å³ per atom: 36.84
Uncorrected formation energy, kcal/mol of atoms: -20.27
Uncorrected energy, eV/atom: -3.043

The structure in POSCAR format:
```
RbCuBiBr5
1.0
4.731 -6.354 0.000
4.731 6.354 0.000
-4.250 0.000 9.804
Rb Cu Bi Br
2 2 2 10
Direct
0.143 0.857 0.750
0.857 0.143 0.250
0.195 0.805 0.250
0.805 0.195 0.750
0.500 0.500 0.000
0.500 0.500 0.500
0.109 0.263 0.926
0.182 0.598 0.387
0.263 0.109 0.426
0.402 0.818 0.113
0.414 0.586 0.750
0.586 0.414 0.250
0.598 0.182 0.887
0.737 0.891 0.574
0.818 0.402 0.613
0.891 0.737 0.074
```